[1]
VASP calculation (PBE-GGA) on an optimized crystal structure of Nd4InAu.

a = 5.5672 Å, b = 7.2040 Å, c = 10.0131 Å
α = 90.00°, β = 115.51°, γ = 90.00°
Element x y z (fractional)
In (0.3165, 0.2500, 0.0835)
Nd (0.9165, 0.0182, 0.2296)
Au (0.7842, 0.7500, 0.4426)
Nd (0.0835, 0.9818, 0.7704)
Nd (0.9165, 0.4818, 0.2296)
Nd (0.3794, 0.7500, 0.5545)
Nd (0.3346, 0.7500, 0.1228)
Nd (0.6654, 0.2500, 0.8772)
Nd (0.0835, 0.5182, 0.7704)
In (0.6835, 0.7500, 0.9165)
Nd (0.6206, 0.2500, 0.4455)
Au (0.2158, 0.2500, 0.5574)

Summary:
total magnetization	0.0	μB/cell
DFT formation energy	-0.41	eV per atom
energy relative to the lowest polymorph listed for this composition	0	meV/atom



[2]
VASP calculation (PBE-GGA) on an optimized crystal structure of NdInAu6.

a = 5.0034 Å, b = 5.4609 Å, c = 5.9411 Å
α = 90.00°, β = 90.00°, γ = 90.00°
Element x y z (fractional)
Au (0.5000, 0.8452, 0.2566)
Nd (0.0000, 0.6519, 0.0000)
Au (0.0000, 0.1607, 0.2594)
Au (0.0000, 0.6719, 0.5000)
Au (0.0000, 0.1607, 0.7406)
Au (0.5000, 0.2996, 0.0000)
Au (0.5000, 0.8452, 0.7434)
In (0.5000, 0.3649, 0.5000)

Summary:
total magnetization	0.0	μB/cell
DFT formation energy	-0.35	eV per atom
energy relative to the lowest polymorph listed for this composition	0	meV/atom



[3]
VASP calculation (PBE-GGA) on an optimized crystal structure of NdInAu2.

a = 5.0417 Å, b = 5.0417 Å, c = 5.0417 Å
α = 60.00°, β = 60.00°, γ = 60.00°
Element x y z (fractional)
Au (0.2500, 0.2500, 0.2500)
In (0.0000, 0.0000, 0.0000)
Nd (0.5000, 0.5000, 0.5000)
Au (0.7500, 0.7500, 0.7500)

Summary:
total magnetization	0.0	μB/cell
DFT formation energy	-0.69	eV per atom



[4]
VASP calculation (PBE-GGA) on an optimized crystal structure of Nd2In8Au.

a = 4.6470 Å, b = 6.9838 Å, c = 10.6968 Å
α = 117.75°, β = 102.55°, γ = 90.00°
Element x y z (fractional)
In (0.3737, 0.0359, 0.7474)
Au (0.5000, 0.0000, 0.0000)
In (0.3855, 0.5790, 0.7709)
In (0.7902, 0.6844, 0.5805)
In (0.9925, 0.2670, 0.9849)
In (0.0075, 0.7330, 0.0151)
In (0.2098, 0.3156, 0.4195)
In (0.6263, 0.9641, 0.2526)
Nd (0.1877, 0.7766, 0.3755)
Nd (0.8123, 0.2234, 0.6245)
In (0.6145, 0.4210, 0.2291)

Summary:
total magnetization	0.0	μB/cell
DFT formation energy	-0.26	eV per atom
energy relative to the lowest polymorph listed for this composition	117	meV/atom